Entry 1:
First-principles (PBE-GGA) data for a relaxed structure of PaCoRe, as listed in Alexandria via LeMat-Bulk.

a b c (Å): 6.3424 6.3424 6.3424
angles (deg): 153.69 153.69 37.55
Fractional coordinates of all 3 atoms:
Pa: 0.0000 0.0000 0.0000
Co: 0.6795 0.6795 0.0000
Re: 0.3025 0.3025 0.0000

Summary:
* relative energy among the computed polymorphs: 323.6 meV/atom
* space-group type: I4mm (107)
* raw total energy: -9.570 eV/atom
* formation energy from the elements: 0.11 eV/atom

***

Entry 2:
First-principles (PBE-GGA) data for a relaxed structure of CaHfI2, as listed in Alexandria via LeMat-Bulk.

a b c (Å): 5.2516 5.2516 5.2516
angles (deg): 60.00 60.00 60.00
Fractional coordinates of all 4 atoms:
Ca: 0.0000 0.0000 0.0000
Hf: 0.5000 0.5000 0.5000
I: 0.2500 0.2500 0.2500
I: 0.7500 0.7500 0.7500

Summary:
* relative energy among the computed polymorphs: 0.0 meV/atom
* space-group type: Fm-3m (225)
* raw total energy: -3.932 eV/atom
* formation energy (no corrections): -168 meV per atom

***

Entry 3:
First-principles (PBE-GGA) data for a relaxed structure of La2Pd12Au5, as listed in Alexandria via LeMat-Bulk.

a b c (Å): 7.1001 7.1001 7.1001
angles (deg): 82.19 82.19 82.19
Fractional coordinates of all 19 atoms:
La: 0.1568 0.1568 0.1568
La: 0.8432 0.8432 0.8432
Pd: 0.1481 0.1481 0.6605
Pd: 0.1481 0.6605 0.1481
Pd: 0.1954 0.5000 0.8046
Pd: 0.1954 0.8046 0.5000
Pd: 0.3395 0.8519 0.8519
Pd: 0.5000 0.1954 0.8046
Pd: 0.5000 0.8046 0.1954
Pd: 0.6605 0.1481 0.1481
Pd: 0.8046 0.1954 0.5000
Pd: 0.8046 0.5000 0.1954
Pd: 0.8519 0.3395 0.8519
Pd: 0.8519 0.8519 0.3395
Au: 0.0000 0.5000 0.5000
Au: 0.4004 0.4004 0.4004
Au: 0.5000 0.0000 0.5000
Au: 0.5000 0.5000 0.0000
Au: 0.5996 0.5996 0.5996

Summary:
* space-group type: R-3m (166)
* raw total energy: -5.027 eV/atom
* formation energy from the elements: -0.37 eV/atom